Record 1
Crystalline SmY5As6 at its relaxed geometry, computed with GGA-PBE.

Geometry as POSCAR:
```
SmY5As6
1.0
3.5862 -6.2095 0.0000
3.5862 6.2095 0.0000
-2.3909 0.0000 6.7590
Sm Y As
1 5 6
Direct
0.0000 0.0000 0.0000
0.1659 0.8341 0.5000
0.3331 0.6669 0.0000
0.5000 0.5000 0.5000
0.6669 0.3331 0.0000
0.8341 0.1659 0.5000
0.0840 0.4201 0.2520
0.2525 0.2525 0.7486
0.4201 0.0840 0.2520
0.5799 0.9160 0.7480
0.7475 0.7475 0.2514
0.9160 0.5799 0.7480
```

Fermi-level density of states in states/eV/cell: 1.2
Formation energy from the elements in meV/atom: -1552
VASP energy in eV per atom: -6.963

***

Record 2
Crystalline SiMo2Cl at its relaxed geometry, computed with GGA-PBE.

Geometry as POSCAR:
```
SiMo2Cl
1.0
-2.0029 2.0029 3.8493
2.0029 -2.0029 3.8493
2.0029 2.0029 -3.8493
Si Mo Cl
1 2 1
Direct
0.0000 0.0000 0.0000
0.5000 0.5000 0.0000
0.7500 0.2500 0.5000
0.2500 0.7500 0.5000
```

Energy above the most stable polymorph in this dataset in meV/atom: 625
Fermi-level density of states in states/eV/cell: 2.9
VASP energy in eV per atom: -6.613
Raw formation energy in meV/atom: 620